14
Lattice="-1.520 -6.341 -3.152 0.473 -0.910 7.170 -5.264 4.744 -1.499" Properties=species:S:1:pos:R:3 comment="Cd8PtAu5 (GGA-PBE, relaxed)" volume_a3_per_fu=292.5 energy_ry_per_atom=-0.1667 n_ef_per_ev_cell=5.8 e_form_ev_per_atom=-0.14 rho_g_cm3=11.803 pbc="T T T"
Au -4.016 -2.402 1.239
Au -1.924 -6.002 -0.576
Au -2.295 -5.164 3.017
Au -3.392 -0.799 -2.326
Au -0.643 -2.533 -0.296
Cd -3.153 -3.463 -1.314
Cd -2.258 -0.204 0.403
Cd -2.758 1.050 4.108
Cd -5.264 -0.160 -0.260
Cd 0.070 -1.332 4.943
Cd -5.263 -2.864 -3.474
Cd -1.447 -2.442 2.504
Cd -5.171 -0.615 3.166
Pt -4.092 1.518 1.673